one:
The following is a DFT calculation (PBE) of Tb2Pr3Cd2 after structural relaxation.

Unit cell a=5.131 b=3.535 c=12.058 alpha=90.00 beta=77.72 gamma=90.00
Sites, in units of the cell vectors:
Tb: 0.710 0.500 0.580
Tb: 0.290 0.500 0.420
Pr: 0.856 0.000 0.288
Pr: 0.000 0.000 0.000
Pr: 0.144 0.000 0.712
Cd: 0.569 0.500 0.861
Cd: 0.431 0.500 0.139

Properties
symmetry: Cmmm (65)
calculated volume: 30.528 Å³/atom


two:
The following is a DFT calculation (PBE) of Tb2Pr3Cd2 after structural relaxation.

Unit cell a=5.538 b=5.536 c=8.745 alpha=108.46 beta=90.00 gamma=120.01
Sites, in units of the cell vectors:
Tb: 0.926 0.852 0.279
Tb: 0.074 0.148 0.721
Pr: 0.500 0.000 0.000
Pr: 0.658 0.317 0.475
Pr: 0.342 0.683 0.525
Cd: 0.790 0.580 0.869
Cd: 0.210 0.420 0.131

Properties
symmetry: R-3m (166)
calculated volume: 30.868 Å³/atom


Which of them is least stable? Easy: one.


one:
The following is a DFT calculation (PBE) of Tb3Pr2Cd3 after structural relaxation.

Unit cell a=3.821 b=5.382 c=11.778 alpha=103.21 beta=99.33 gamma=90.00
Sites, in units of the cell vectors:
Tb: 0.381 0.381 0.761
Tb: 0.619 0.619 0.239
Tb: 0.500 0.000 0.000
Pr: 0.269 0.769 0.537
Pr: 0.731 0.231 0.463
Cd: 0.887 0.887 0.775
Cd: 0.000 0.500 0.000
Cd: 0.113 0.113 0.225

Properties
symmetry: Immm (71)
calculated volume: 29.059 Å³/atom


two:
The following is a DFT calculation (PBE) of Tb3Pr2Cd3 after structural relaxation.

Unit cell a=4.975 b=4.977 c=9.312 alpha=90.00 beta=90.00 gamma=90.00
Sites, in units of the cell vectors:
Tb: 0.500 0.500 0.728
Tb: 0.500 0.500 0.272
Tb: 0.500 0.000 0.000
Pr: 0.000 0.000 0.743
Pr: 0.000 0.000 0.257
Cd: 0.500 0.000 0.500
Cd: 0.000 0.500 0.000
Cd: 0.000 0.500 0.500

Properties
symmetry: Pmmm (47)
calculated volume: 28.824 Å³/atom


Which of them is least stable? Easy: two.


one:
The following is a DFT calculation (PBE) of Tb8Pr2Cd after structural relaxation.

Unit cell a=6.165 b=6.152 c=9.358 alpha=96.44 beta=90.01 gamma=99.89
Sites, in units of the cell vectors:
Tb: 0.405 0.455 0.825
Tb: 0.679 0.087 0.357
Tb: 0.859 0.189 0.732
Tb: 0.962 0.732 0.911
Tb: 0.141 0.811 0.268
Tb: 0.321 0.913 0.643
Tb: 0.595 0.545 0.175
Tb: 0.038 0.268 0.089
Pr: 0.776 0.636 0.542
Pr: 0.224 0.364 0.458
Cd: 0.500 0.000 0.000

Properties
symmetry: P-1 (2)
calculated volume: 31.584 Å³/atom


two:
The following is a DFT calculation (PBE) of Tb8Pr2Cd after structural relaxation.

Unit cell a=5.026 b=7.941 c=9.395 alpha=104.98 beta=105.51 gamma=90.00
Sites, in units of the cell vectors:
Tb: 0.412 0.556 0.824
Tb: 0.680 0.910 0.360
Tb: 0.867 0.826 0.733
Tb: 0.955 0.278 0.911
Tb: 0.133 0.174 0.267
Tb: 0.320 0.090 0.640
Tb: 0.588 0.444 0.176
Tb: 0.045 0.722 0.089
Pr: 0.777 0.363 0.553
Pr: 0.223 0.637 0.447
Cd: 0.500 0.000 0.000

Properties
symmetry: C2/m (12)
calculated volume: 31.643 Å³/atom


Which of them is least stable? Easy: one.